Record 1
This record from Alexandria via LeMat-Bulk describes a relaxed NpSbH3 crystal. The functional is PBE.

Cell: 5.569 5.569 5.571 Å, 119.99 119.99 90.00°
Each line ends with the local moment (μB).
Fractional coordinates of all 10 atoms:
1 H 0.250 0.250 0.000  -0.01
2 H 0.750 0.750 0.000  -0.01
3 H 0.750 0.250 0.000  -0.01
4 Np 0.000 0.000 0.000  2.23
5 H 0.750 0.750 0.500  -0.01
6 H 0.250 0.250 0.500  -0.01
7 Sb 0.750 0.250 0.500  -0.09
8 Sb 0.250 0.750 0.500  -0.09
9 H 0.250 0.750 0.000  -0.01
10 Np 0.500 0.500 0.000  2.23

Properties
Space-group type = Pm-3m (221)
Uncorrected energy = -5.3154 eV per atom
Mass density = 9.829 g/cm3
Magnetization = 4.1 μB/cell
DOS at the Fermi energy = 16.505 states/eV/cell

Record 2
This record from Alexandria via LeMat-Bulk describes a relaxed Th4TeAsPb2 crystal. The functional is PBE.

Cell: 4.482 7.691 7.815 Å, 70.49 90.00 90.00°
Fractional coordinates of all 8 atoms:
1 Pb 0.500 0.000 0.500
2 As 0.000 0.500 0.500
3 Th 0.000 0.740 0.740
4 Th 0.500 0.732 0.268
5 Te 0.500 0.500 0.000
6 Th 0.500 0.268 0.732
7 Pb 0.000 0.000 0.000
8 Th 0.000 0.260 0.260

Properties
E_form (uncorrected) = -5.8 eV/f.u.
Space-group type = P2/m (10)
Uncorrected energy = -6.3312 eV per atom
Mass density = 10.104 g/cm3
Magnetization = 0.0 μB/cell
DOS at the Fermi energy = 5.294 states/eV/cell

Which of these has the lowest magnetization? Th4TeAsPb2

Copy entry 1 word for word.
This record from Alexandria via LeMat-Bulk describes a relaxed NpSbH3 crystal. The functional is PBE.

Cell: 5.569 5.569 5.571 Å, 119.99 119.99 90.00°
Each line ends with the local moment (μB).
Fractional coordinates of all 10 atoms:
1 H 0.250 0.250 0.000  -0.01
2 H 0.750 0.750 0.000  -0.01
3 H 0.750 0.250 0.000  -0.01
4 Np 0.000 0.000 0.000  2.23
5 H 0.750 0.750 0.500  -0.01
6 H 0.250 0.250 0.500  -0.01
7 Sb 0.750 0.250 0.500  -0.09
8 Sb 0.250 0.750 0.500  -0.09
9 H 0.250 0.750 0.000  -0.01
10 Np 0.500 0.500 0.000  2.23

Properties
Space-group type = Pm-3m (221)
Uncorrected energy = -5.3154 eV per atom
Mass density = 9.829 g/cm3
Magnetization = 4.1 μB/cell
DOS at the Fermi energy = 16.505 states/eV/cell

Which of these has the highest DOS at the Fermi energy? NpSbH3

Which of these has the highest mass density? Th4TeAsPb2